No. 1
PBE TbPmTh2Bi4, optimized geometry; total magnetization = 0.000 μB/cell; calculated total energy = -45.7 eV for the cell shown; space group = P2/m (10)
1.0
4.578 0.000 0.000
0.000 7.885 -0.137
0.000 2.794 7.415
Tb Pm Th Bi
1 1 2 4
direct
0.000 0.500 0.500
0.500 0.500 0.000
0.000 0.000 0.000
0.500 0.000 0.500
0.000 0.746 0.749
0.000 0.254 0.251
0.500 0.744 0.254
0.500 0.256 0.746

---

No. 2
PBE Ce5SnAu2, optimized geometry; total magnetization = 12.824 μB/cell; calculated total energy = -87.7 eV for the cell shown; space group = I4/mcm (140)
1.0
7.429 0.000 -3.507
-1.655 7.242 -3.507
-0.425 -0.533 8.723
Ce Sn Au
10 2 4
direct
0.513 0.681 0.694
0.819 0.987 0.306
0.000 0.000 0.000
0.500 0.500 0.000
0.181 0.013 0.694
0.681 0.181 0.694
0.013 0.513 0.694
0.319 0.819 0.306
0.987 0.487 0.306
0.487 0.319 0.306
0.750 0.750 0.500
0.250 0.250 0.500
0.129 0.371 0.000
0.629 0.129 0.000
0.371 0.871 0.000
0.871 0.629 0.000

---

No. 3
PBE SrAg2TeO6, optimized geometry; total magnetization = 0.000 μB/cell; calculated total energy = -101.1 eV for the cell shown; ΔE_f (raw) = -1.03 eV/atom; space group = P2_1/c (14)
1.0
-4.946 1.833 -1.600
0.906 -2.381 -5.532
-3.131 -7.429 2.685
Sr Ag Te O
2 4 2 12
direct
0.500 0.000 0.000
0.000 0.500 0.500
0.009 0.929 0.288
0.509 0.571 0.788
0.991 0.071 0.712
0.491 0.429 0.212
0.500 0.000 0.500
0.000 0.500 0.000
0.283 0.671 0.055
0.783 0.829 0.555
0.717 0.329 0.945
0.217 0.171 0.445
0.340 0.753 0.392
0.840 0.747 0.892
0.660 0.247 0.608
0.160 0.253 0.108
0.854 0.602 0.203
0.354 0.898 0.703
0.146 0.398 0.797
0.646 0.102 0.297

---

The highest calculated total energy belongs to which entry?
TbPmTh2Bi4

---

Which of these has the highest calculated total energy?
TbPmTh2Bi4

---

Number 3 is which compound?
SrAg2TeO6